A relaxed CdCl crystal. Source: the Open Quantum Materials Database, functional PBE.

## Properties
**Total energy**: -1.72 eV/atom

a = 3.6080 Å, b = 3.6080 Å, c = 4.1798 Å
α = 90.00°, β = 90.00°, γ = 120.00°
Atoms (fractional coordinates):
1 Cd 0.0000 0.0000 0.0000
2 Cl 0.6667 0.3333 0.5000

A relaxed CdCl6 crystal. Source: the Open Quantum Materials Database, functional PBE.

## Properties
**Total energy**: -2.10 eV/atom

a = 3.9372 Å, b = 7.1598 Å, c = 7.1685 Å
α = 115.62°, β = 97.65°, γ = 93.14°
Atoms (fractional coordinates):
1 Cd 0.0000 0.0000 0.0000
2 Cl 0.1087 0.4157 0.7446
3 Cl 0.1800 0.8483 0.2876
4 Cl 0.4302 0.7684 0.7698
5 Cl 0.5698 0.2316 0.2302
6 Cl 0.8200 0.1517 0.7124
7 Cl 0.8913 0.5843 0.2554

A relaxed CdCl crystal. Source: the Open Quantum Materials Database, functional PBE.

## Properties
**Total energy**: -1.75 eV/atom

a = 6.4600 Å, b = 6.4600 Å, c = 6.4600 Å
α = 90.00°, β = 90.00°, γ = 90.00°
Atoms (fractional coordinates):
1 Cd 0.0000 0.0000 0.0000
2 Cd 0.0000 0.5000 0.5000
3 Cd 0.5000 0.0000 0.5000
4 Cd 0.5000 0.5000 0.0000
5 Cl 0.2500 0.2500 0.7500
6 Cl 0.2500 0.7500 0.2500
7 Cl 0.7500 0.2500 0.2500
8 Cl 0.7500 0.7500 0.7500

A relaxed CdCl4 crystal. Source: the Open Quantum Materials Database, functional PBE.

## Properties
**Total energy**: -2.26 eV/atom

a = 7.9313 Å, b = 7.9313 Å, c = 6.8248 Å
α = 90.00°, β = 90.00°, γ = 135.16°
Atoms (fractional coordinates):
1 Cd 0.0000 0.0000 0.2500
2 Cd 0.0000 0.0000 0.7500
3 Cl 0.1450 0.3103 0.5000
4 Cl 0.1675 0.5723 0.0000
5 Cl 0.3103 0.1450 0.0000
6 Cl 0.4277 0.8325 0.5000
7 Cl 0.5723 0.1675 0.5000
8 Cl 0.6897 0.8550 0.0000
9 Cl 0.8325 0.4277 0.0000
10 Cl 0.8550 0.6897 0.5000

A relaxed CdCl crystal. Source: the Open Quantum Materials Database, functional PBE.

## Properties
**Total energy**: -1.79 eV/atom

a = 5.9253 Å, b = 5.9253 Å, c = 5.9253 Å
α = 90.00°, β = 90.00°, γ = 90.00°
Atoms (fractional coordinates):
1 Cd 0.0000 0.0000 0.0000
2 Cd 0.0000 0.5000 0.5000
3 Cd 0.5000 0.0000 0.5000
4 Cd 0.5000 0.5000 0.0000
5 Cl 0.0000 0.0000 0.5000
6 Cl 0.0000 0.5000 0.0000
7 Cl 0.5000 0.0000 0.0000
8 Cl 0.5000 0.5000 0.5000

A relaxed Cd2CoCl8 crystal. Source: the Open Quantum Materials Database, functional PBE.

## Properties
**Total energy**: -2.84 eV/atom
**Total magnetic moment**: 3.0 μB per cell

a = 9.8064 Å, b = 9.8064 Å, c = 9.8064 Å
α = 145.32°, β = 145.32°, γ = 49.86°
Atoms (fractional coordinates):
1 Cd 0.2462 0.2462 0.0000
2 Cd 0.7538 0.7538 0.0000
3 Co 0.0000 0.0000 0.0000
4 Cl 0.0903 0.0798 0.5120
5 Cl 0.1617 0.6971 0.9531
6 Cl 0.3029 0.2560 0.4646
7 Cl 0.4217 0.9097 0.9895
8 Cl 0.5679 0.5783 0.4880
9 Cl 0.7440 0.2087 0.0469
10 Cl 0.7913 0.8383 0.5354
11 Cl 0.9202 0.4321 0.0105

A relaxed CsCdCl3 crystal. Source: the Open Quantum Materials Database, functional PBE.

## Properties
**Total energy**: -2.94 eV/atom

a = 7.3764 Å, b = 7.3764 Å, c = 6.4653 Å
α = 90.00°, β = 90.00°, γ = 120.06°
Atoms (fractional coordinates):
1 Cs 0.1668 0.8332 0.7500
2 Cs 0.8332 0.1668 0.2500
3 Cd 0.5000 0.5000 0.0000
4 Cd 0.5000 0.5000 0.5000
5 Cl 0.1692 0.3343 0.7500
6 Cl 0.3343 0.1692 0.2500
7 Cl 0.3347 0.6653 0.2500
8 Cl 0.6653 0.3347 0.7500
9 Cl 0.6657 0.8308 0.7500
10 Cl 0.8308 0.6657 0.2500

A relaxed Cs3CdCl6 crystal. Source: the Open Quantum Materials Database, functional PBE.

## Properties
**Total energy**: -2.86 eV/atom

a = 8.0571 Å, b = 8.0571 Å, c = 8.0571 Å
α = 60.00°, β = 60.00°, γ = 60.00°
Atoms (fractional coordinates):
1 Cs 0.0000 0.0000 0.0000
2 Cs 0.2500 0.2500 0.2500
3 Cs 0.7500 0.7500 0.7500
4 Cd 0.5000 0.5000 0.5000
5 Cl 0.2742 0.2742 0.7258
6 Cl 0.2742 0.7258 0.2742
7 Cl 0.2742 0.7258 0.7258
8 Cl 0.7258 0.2742 0.2742
9 Cl 0.7258 0.2742 0.7258
10 Cl 0.7258 0.7258 0.2742